## CuNiRh (SCAN)

Data for a PBEsol-optimized structure of CuNiRh.

The calculation puts the energy above the most stable polymorph in this dataset at 19 meV/atom.

The space group is Imm2 (No. 44) and the conventional cell measures 2.6061, 3.5508 and 7.7142 Å, with angles of 90.00, 90.00 and 90.00 degrees. The distinct sites, in fractional coordinates, are Cu at (0.0000, 0.0000, 0.0000), Ni at (0.0000, 0.0000, 0.6626) and Rh at (0.0000, 0.0000, 0.3285).



## CaCdSeN2 (SCAN)

Data for a PBEsol-optimized structure of CaCdSeN2.

The value obtained for the uncorrected formation energy is 0.918 eV per atom.

The space group is P4/mmm (No. 123) and the conventional cell measures 4.4220, 4.4220 and 5.7094 Å, with angles of 90.00, 90.00 and 90.00 degrees. The distinct sites, in fractional coordinates, are Ca at (0.0000, 0.0000, 0.0000), Cd at (0.5000, 0.5000, 0.5000), Se at (0.0000, 0.0000, 0.5000) and N at (0.0000, 0.5000, 0.0000).